# Na2AsHS4 (PBE, relaxed)
# **Space group**: Cm, No. 8
# **Total magnetic moment**: 0.0000 μB per atom
# **Calculated volume**: 198.36 Å³/cell
# **E_tot**: -31.33 eV per cell
data_Na2AsHS4
_chemical_formula_sum 'Na2 As1 H1 S4'
_symmetry_space_group_name_H-M 'P 1'
_symmetry_Int_Tables_number 1
_cell_length_a 6.724
_cell_length_b 6.724
_cell_length_c 5.963
_cell_angle_alpha 114.23
_cell_angle_beta 114.23
_cell_angle_gamma 102.67
loop_
_symmetry_equiv_pos_as_xyz
'x,y,z'
loop_
_atom_site_label
_atom_site_fract_x
_atom_site_fract_y
_atom_site_fract_z
Na1 0.221 0.779 0.000
Na2 0.779 0.221 0.000
As1 0.196 0.196 0.586
H1 0.492 0.492 0.204
S1 0.238 0.238 0.266
S2 0.239 0.879 0.562
S3 0.544 0.544 0.028
S4 0.879 0.239 0.562